First-principles (PBE) data for a relaxed structure of Rb2SNF6, as listed in Alexandria via LeMat-Bulk.

abc: 6.3695 6.3695 9.0394
angles: 90.00 90.00 90.00
Space group I4/mmm (No. 139)
Asymmetric unit:
Rb 0.0000 0.5000 0.2500 [4 per cell]
S 0.0000 0.0000 0.0000 [2 per cell]
N 0.0000 0.0000 0.5000 [2 per cell]
F 0.0000 0.0000 0.2071 [4 per cell]
F 0.2076 0.2076 0.0000 [8 per cell]

The crystal system is tetragonal. The value obtained for the formation energy (no corrections) is -1327 kJ/mol of formula units.